Compound: MgNbSn3
Source: the Alexandria database
Functional: PBE
Structure: relaxed

a b c (Å): 5.413 5.413 5.413
angles (deg): 90.00 90.00 90.00
Element x y z (fractional)
1 Mg 0.500 0.500 0.500
2 Sn 0.000 0.500 0.000
3 Sn 0.000 0.000 0.500
4 Sn 0.500 0.000 0.000
5 Nb 0.000 0.000 0.000

Computed properties:
E above lowest polymorph: 0.000 eV/atom
Crystal system: cubic
V: 31.7 Å³ per atom
Density: 4955 kg/m³
E_form: 1.7 eV per formula unit


Compound: MgNbSn2
Source: the Alexandria database
Functional: PBE
Structure: relaxed

a b c (Å): 3.179 3.179 11.022
angles (deg): 81.71 81.71 60.00
Element x y z (fractional)
1 Mg 0.000 0.000 0.000
2 Sn 0.094 0.094 0.719
3 Sn 0.906 0.906 0.281
4 Nb 0.500 0.500 0.500

Computed properties:
Crystal system: trigonal
V: 23.8 Å³ per atom
Density: 6189 kg/m³
E_form: 0.3 eV per formula unit


Compound: MgNbSn2
Source: the Alexandria database
Functional: PBE
Structure: relaxed

a b c (Å): 7.861 7.861 6.331
angles (deg): 51.62 51.62 90.00
Element x y z (fractional)
1 Sn 0.875 0.881 0.750
2 Sn 0.375 0.369 0.750
3 Sn 0.631 0.125 0.250
4 Sn 0.119 0.625 0.250
5 Nb 0.000 0.000 0.000
6 Nb 0.750 0.250 0.500
7 Mg 0.250 0.750 0.500
8 Mg 0.500 0.500 0.000

Computed properties:
Crystal system: tetragonal
V: 23.4 Å³ per atom
Density: 6289 kg/m³
E_form: 1.4 eV per formula unit


Compound: Mg3NbSn
Source: the Alexandria database
Functional: PBE
Structure: relaxed

a b c (Å): 5.298 5.298 5.298
angles (deg): 90.00 90.00 90.00
Site moments in Bohr magnetons follow the coordinates.
Element x y z (fractional)
1 Sn 0.000 0.000 0.000  0.07
2 Nb 0.500 0.500 0.500  2.83
3 Mg 0.500 0.000 0.000  0.01
4 Mg 0.000 0.500 0.000  0.00
5 Mg 0.000 0.000 0.500  0.00

Computed properties:
E above lowest polymorph: 0.002 eV/atom
Crystal system: cubic
V: 29.7 Å³ per atom
Density: 3177 kg/m³
E_form: 5.2 eV per formula unit


Compound: YMg2NbSn
Source: the Alexandria database
Functional: PBE
Structure: relaxed

a b c (Å): 5.608 4.981 5.608
angles (deg): 90.00 90.00 90.00
Element x y z (fractional)
1 Nb 0.000 0.500 0.000
2 Y 0.000 0.000 0.000
3 Mg 0.000 0.000 0.500
4 Mg 0.500 0.000 0.000
5 Sn 0.500 0.500 0.500

Computed properties:
Crystal system: tetragonal
V: 31.3 Å³ per atom
Density: 3701 kg/m³
E_form: 6.5 eV per formula unit


Compound: MgZr2NbSn
Source: the Alexandria database
Functional: PBE
Structure: relaxed

a b c (Å): 5.312 5.122 5.312
angles (deg): 90.00 90.00 90.00
Site moments in Bohr magnetons follow the coordinates.
Element x y z (fractional)
1 Zr 0.000 0.000 0.500  -0.01
2 Zr 0.500 0.000 0.000  0.03
3 Nb 0.000 0.500 0.000  0.53
4 Mg 0.500 0.500 0.500  -0.01
5 Sn 0.000 0.000 0.000  -0.01

Computed properties:
Crystal system: tetragonal
V: 28.9 Å³ per atom
Density: 4807 kg/m³
E_form: 4.9 eV per formula unit


Compound: SrMgNb3
Source: the Alexandria database
Functional: PBE
Structure: relaxed

a b c (Å): 5.023 5.023 5.023
angles (deg): 90.00 90.00 90.00
Element x y z (fractional)
1 Nb 0.000 0.500 0.000
2 Nb 0.500 0.000 0.000
3 Nb 0.000 0.000 0.500
4 Sr 0.500 0.500 0.500
5 Mg 0.000 0.000 0.000

Computed properties:
E above lowest polymorph: 0.000 eV/atom
Crystal system: cubic
V: 25.3 Å³ per atom
Density: 5119 kg/m³
E_form: 8.0 eV per formula unit


Compound: SrMgNb3
Source: the Alexandria database
Functional: PBE
Structure: relaxed

a b c (Å): 4.934 4.934 4.934
angles (deg): 90.00 90.00 90.00
Element x y z (fractional)
1 Nb 0.000 0.000 0.500
2 Nb 0.000 0.500 0.000
3 Nb 0.500 0.000 0.000
4 Sr 0.000 0.000 0.000
5 Mg 0.500 0.500 0.500

Computed properties:
E above lowest polymorph: 0.706 eV/atom
Crystal system: cubic
V: 24.0 Å³ per atom
Density: 5400 kg/m³
E_form: 11.6 eV per formula unit


Compound: SrMg2Nb
Source: the Alexandria database
Functional: PBE
Structure: relaxed

a b c (Å): 4.729 4.729 11.364
angles (deg): 77.99 77.99 90.00
Site moments in Bohr magnetons follow the coordinates.
Element x y z (fractional)
1 Nb 0.000 0.000 0.000  2.20
2 Nb 0.750 0.250 0.500  2.20
3 Mg 0.693 0.125 0.250  0.00
4 Mg 0.875 0.943 0.750  0.00
5 Mg 0.375 0.307 0.750  0.00
6 Mg 0.057 0.625 0.250  0.00
7 Sr 0.250 0.750 0.500  0.07
8 Sr 0.500 0.500 0.000  0.07

Computed properties:
Crystal system: tetragonal
V: 30.4 Å³ per atom
Density: 3133 kg/m³
E_form: 3.5 eV per formula unit


Compound: Sr3MgNb
Source: the Alexandria database
Functional: PBE
Structure: relaxed

a b c (Å): 5.937 5.937 5.937
angles (deg): 90.00 90.00 90.00
Element x y z (fractional)
1 Sr 0.500 0.000 0.000
2 Sr 0.000 0.000 0.500
3 Sr 0.000 0.500 0.000
4 Mg 0.500 0.500 0.500
5 Nb 0.000 0.000 0.000

Computed properties:
E above lowest polymorph: 0.000 eV/atom
Crystal system: cubic
V: 41.9 Å³ per atom
Density: 3016 kg/m³
E_form: 4.2 eV per formula unit


Compound: Sr3MgNb
Source: the Alexandria database
Functional: PBE
Structure: relaxed

a b c (Å): 6.213 6.213 6.213
angles (deg): 90.00 90.00 90.00
Site moments in Bohr magnetons follow the coordinates.
Element x y z (fractional)
1 Sr 0.500 0.000 0.000  0.00
2 Sr 0.000 0.500 0.000  0.00
3 Sr 0.000 0.000 0.500  0.02
4 Nb 0.500 0.500 0.500  2.92
5 Mg 0.000 0.000 0.000  -0.02

Computed properties:
E above lowest polymorph: 0.232 eV/atom
Crystal system: cubic
V: 48.0 Å³ per atom
Density: 2631 kg/m³
E_form: 5.3 eV per formula unit


Compound: SrMgNb2Tc
Source: the Alexandria database
Functional: PBE
Structure: relaxed

a b c (Å): 4.801 4.949 4.801
angles (deg): 90.00 90.00 90.00
Element x y z (fractional)
1 Mg 0.000 0.500 0.000
2 Nb 0.500 0.000 0.000
3 Nb 0.000 0.000 0.500
4 Tc 0.500 0.500 0.500
5 Sr 0.000 0.000 0.000

Computed properties:
Crystal system: tetragonal
V: 22.8 Å³ per atom
Density: 5760 kg/m³
E_form: 13.3 eV per formula unit


Compound: MgTaNb2
Source: the Alexandria database
Functional: PBE
Structure: relaxed

a b c (Å): 7.464 7.464 5.987
angles (deg): 51.43 51.43 90.00
Element x y z (fractional)
1 Nb 0.375 0.372 0.750
2 Nb 0.628 0.125 0.250
3 Nb 0.122 0.625 0.250
4 Nb 0.875 0.878 0.750
5 Ta 0.000 0.000 0.000
6 Ta 0.750 0.250 0.500
7 Mg 0.500 0.500 0.000
8 Mg 0.250 0.750 0.500

Computed properties:
Crystal system: tetragonal
V: 19.7 Å³ per atom
Density: 8251 kg/m³
E_form: 3.1 eV per formula unit


Compound: MgTaNb3
Source: the Alexandria database
Functional: PBE
Structure: relaxed

a b c (Å): 4.936 4.936 4.936
angles (deg): 90.00 90.00 90.00
Element x y z (fractional)
1 Nb 0.500 0.000 0.000
2 Nb 0.000 0.000 0.500
3 Nb 0.000 0.500 0.000
4 Mg 0.500 0.500 0.500
5 Ta 0.000 0.000 0.000

Computed properties:
E above lowest polymorph: 0.000 eV/atom
Crystal system: cubic
V: 24.1 Å³ per atom
Density: 6682 kg/m³
E_form: 6.3 eV per formula unit


Compound: Mg3TaNb
Source: the Alexandria database
Functional: PBE
Structure: relaxed

a b c (Å): 4.985 4.985 4.985
angles (deg): 90.00 90.00 90.00
Site moments in Bohr magnetons follow the coordinates.
Element x y z (fractional)
1 Mg 0.500 0.000 0.000  0.06
2 Mg 0.000 0.000 0.500  0.02
3 Mg 0.000 0.500 0.000  0.04
4 Nb 0.000 0.000 0.000  1.76
5 Ta 0.500 0.500 0.500  0.41

Computed properties:
E above lowest polymorph: 0.000 eV/atom
Crystal system: cubic
V: 24.8 Å³ per atom
Density: 4647 kg/m³
E_form: 9.2 eV per formula unit


Compound: MgTaNb2
Source: the Alexandria database
Functional: PBE
Structure: relaxed

a b c (Å): 3.402 3.402 6.536
angles (deg): 90.00 90.00 90.00
Element x y z (fractional)
1 Nb 0.000 0.000 0.773
2 Nb 0.000 0.000 0.227
3 Mg 0.500 0.500 0.500
4 Ta 0.500 0.500 0.000

Computed properties:
Crystal system: tetragonal
V: 18.9 Å³ per atom
Density: 8585 kg/m³
E_form: 0.6 eV per formula unit


Compound: MgTa3Nb
Source: the Alexandria database
Functional: PBE
Structure: relaxed

a b c (Å): 4.706 4.706 4.706
angles (deg): 90.00 90.00 90.00
Element x y z (fractional)
1 Mg 0.000 0.000 0.000
2 Nb 0.500 0.500 0.500
3 Ta 0.000 0.000 0.500
4 Ta 0.000 0.500 0.000
5 Ta 0.500 0.000 0.000

Computed properties:
E above lowest polymorph: 0.397 eV/atom
Crystal system: cubic
V: 20.8 Å³ per atom
Density: 10518 kg/m³
E_form: 9.4 eV per formula unit


Compound: MgTa3Nb
Source: the Alexandria database
Functional: PBE
Structure: relaxed

a b c (Å): 4.916 4.916 4.916
angles (deg): 90.00 90.00 90.00
Element x y z (fractional)
1 Nb 0.000 0.000 0.000
2 Mg 0.500 0.500 0.500
3 Ta 0.000 0.500 0.000
4 Ta 0.000 0.000 0.500
5 Ta 0.500 0.000 0.000

Computed properties:
E above lowest polymorph: 0.000 eV/atom
Crystal system: cubic
V: 23.8 Å³ per atom
Density: 9225 kg/m³
E_form: 7.4 eV per formula unit


Compound: MgTaNb3
Source: the Alexandria database
Functional: PBE
Structure: relaxed

a b c (Å): 4.708 4.708 4.708
angles (deg): 90.00 90.00 90.00
Element x y z (fractional)
1 Nb 0.000 0.000 0.500
2 Nb 0.500 0.000 0.000
3 Nb 0.000 0.500 0.000
4 Mg 0.000 0.000 0.000
5 Ta 0.500 0.500 0.500

Computed properties:
E above lowest polymorph: 0.483 eV/atom
Crystal system: cubic
V: 20.9 Å³ per atom
Density: 7699 kg/m³
E_form: 8.7 eV per formula unit


Compound: Mg2TaTiNb
Source: the Alexandria database
Functional: PBE
Structure: relaxed

a b c (Å): 4.877 4.551 4.877
angles (deg): 90.00 90.00 90.00
Site moments in Bohr magnetons follow the coordinates.
Element x y z (fractional)
1 Nb 0.000 0.500 0.000  0.18
2 Mg 0.000 0.000 0.500  0.03
3 Mg 0.500 0.000 0.000  0.04
4 Ti 0.000 0.000 0.000  0.71
5 Ta 0.500 0.500 0.500  -0.13

Computed properties:
Crystal system: tetragonal
V: 21.6 Å³ per atom
Density: 5681 kg/m³
E_form: 7.0 eV per formula unit


Compound: MgZr2TaNb
Source: the Alexandria database
Functional: PBE
Structure: relaxed

a b c (Å): 4.999 5.136 4.999
angles (deg): 90.00 90.00 90.00
Element x y z (fractional)
1 Zr 0.500 0.000 0.000
2 Zr 0.000 0.000 0.500
3 Ta 0.000 0.000 0.000
4 Mg 0.000 0.500 0.000
5 Nb 0.500 0.500 0.500

Computed properties:
Crystal system: tetragonal
V: 25.7 Å³ per atom
Density: 6217 kg/m³
E_form: 6.7 eV per formula unit


Compound: MgNbTc2
Source: the Alexandria database
Functional: PBE
Structure: relaxed

a b c (Å): 7.150 7.150 5.762
angles (deg): 51.65 51.65 90.00
Element x y z (fractional)
1 Mg 0.250 0.750 0.500
2 Mg 0.500 0.500 0.000
3 Tc 0.875 0.896 0.750
4 Tc 0.646 0.125 0.250
5 Tc 0.104 0.625 0.250
6 Tc 0.375 0.354 0.750
7 Nb 0.000 0.000 0.000
8 Nb 0.750 0.250 0.500

Computed properties:
Crystal system: tetragonal
V: 17.7 Å³ per atom
Density: 7361 kg/m³
E_form: 2.7 eV per formula unit


Compound: MgNb2Tc2
Source: the Alexandria database
Functional: PBE
Structure: relaxed

a b c (Å): 7.706 7.706 3.009
angles (deg): 90.00 90.00 90.00
Element x y z (fractional)
1 Nb 0.857 0.643 0.000
2 Nb 0.643 0.143 0.000
3 Nb 0.143 0.357 0.000
4 Nb 0.357 0.857 0.000
5 Tc 0.343 0.157 0.500
6 Tc 0.657 0.843 0.500
7 Tc 0.843 0.343 0.500
8 Tc 0.157 0.657 0.500
9 Mg 0.000 0.000 0.000
10 Mg 0.500 0.500 0.000

Computed properties:
E above lowest polymorph: 0.078 eV/atom
Crystal system: tetragonal
V: 17.9 Å³ per atom
Density: 7549 kg/m³
E_form: 0.9 eV per formula unit


Compound: MgNb2Tc
Source: the Alexandria database
Functional: PBE
Structure: relaxed

a b c (Å): 7.462 7.462 5.962
angles (deg): 51.26 51.26 90.00
Element x y z (fractional)
1 Mg 0.500 0.500 0.000
2 Mg 0.250 0.750 0.500
3 Tc 0.000 0.000 0.000
4 Tc 0.750 0.250 0.500
5 Nb 0.080 0.625 0.250
6 Nb 0.875 0.920 0.750
7 Nb 0.670 0.125 0.250
8 Nb 0.375 0.330 0.750

Computed properties:
Crystal system: tetragonal
V: 19.3 Å³ per atom
Density: 6621 kg/m³
E_form: 2.0 eV per formula unit


Compound: MgNbTc4
Source: the Alexandria database
Functional: PBE
Structure: relaxed

a b c (Å): 5.173 5.173 5.173
angles (deg): 60.00 60.00 60.00
Element x y z (fractional)
1 Nb 0.250 0.250 0.250
2 Tc 0.625 0.625 0.625
3 Tc 0.625 0.125 0.625
4 Tc 0.125 0.625 0.625
5 Tc 0.625 0.625 0.125
6 Mg 0.000 0.000 0.000

Computed properties:
Crystal system: cubic
V: 16.3 Å³ per atom
Density: 8637 kg/m³
E_form: 0.0 eV per formula unit


Compound: MgNb2Tc2
Source: the Alexandria database
Functional: PBE
Structure: relaxed

a b c (Å): 7.547 7.547 3.121
angles (deg): 90.00 90.00 90.00
Element x y z (fractional)
1 Tc 0.644 0.144 0.000
2 Tc 0.144 0.356 0.000
3 Tc 0.856 0.644 0.000
4 Tc 0.356 0.856 0.000
5 Nb 0.348 0.152 0.500
6 Nb 0.848 0.348 0.500
7 Nb 0.152 0.652 0.500
8 Nb 0.652 0.848 0.500
9 Mg 0.500 0.500 0.000
10 Mg 0.000 0.000 0.000

Computed properties:
E above lowest polymorph: 0.000 eV/atom
Crystal system: tetragonal
V: 17.8 Å³ per atom
Density: 7585 kg/m³
E_form: 0.5 eV per formula unit


Compound: MgNb2Tc2
Source: the Alexandria database
Functional: PBE
Structure: relaxed

a b c (Å): 4.167 4.167 6.523
angles (deg): 71.37 71.37 90.00
Element x y z (fractional)
1 Mg 0.000 0.000 0.000
2 Nb 0.377 0.377 0.245
3 Nb 0.623 0.623 0.755
4 Tc 0.250 0.750 0.500
5 Tc 0.750 0.250 0.500

Computed properties:
E above lowest polymorph: 0.403 eV/atom
Crystal system: tetragonal
V: 20.2 Å³ per atom
Density: 6674 kg/m³
E_form: 2.5 eV per formula unit


Compound: MgNbTe3
Source: the Alexandria database
Functional: PBE
Structure: relaxed

a b c (Å): 5.446 5.446 5.446
angles (deg): 90.00 90.00 90.00
Element x y z (fractional)
1 Te 0.500 0.000 0.000
2 Te 0.000 0.500 0.000
3 Te 0.000 0.000 0.500
4 Nb 0.000 0.000 0.000
5 Mg 0.500 0.500 0.500

Computed properties:
Raw formation energy: 0.09 eV/atom
E above lowest polymorph: 0.000 eV/atom
Crystal system: cubic
V: 32.3 Å³ per atom
Density: 5141 kg/m³


no.,density of states at the Fermi level (states/eV per atom)
1,1.457
2,0.872
3,1.430
4,1.745
5,1.165
6,0.962
7,1.417
8,1.332
9,0.366
10,1.021
11,0.841
12,1.893
13,1.033
14,1.232
15,0.934
16,0.938
17,0.995
18,1.226
19,1.158
20,1.090
21,1.639
22,1.139
23,1.042
24,0.853
25,1.174
26,1.061
27,1.560
28,0.881